## A
Below is crystalline NaSrNb at its relaxed geometry, with properties calculated at the PBE level.

For the size of the total moment, the calculation gives 0.000 μB per atom. Its density of states at the Fermi level is 4.089 states/eV/cell.

Unit cell a=3.505 b=6.980 c=8.605 alpha=66.51 beta=78.35 gamma=75.49
Space group P-1 (No. 2)
Asymmetric unit:
Na (0.201, 0.432, 0.166) (multiplicity 2)
Sr (0.500, 0.000, 0.000) (multiplicity 1)
Sr (0.500, 0.500, 0.500) (multiplicity 1)
Nb (0.196, 0.992, 0.612) (multiplicity 2)

## B
Below is crystalline NaSrNb at its relaxed geometry, with properties calculated at the PBE level.

For the size of the total moment, the calculation gives 0.000 μB per atom. Its density of states at the Fermi level is 3.893 states/eV/cell.

Unit cell a=5.7749 b=5.7749 c=7.7588 alpha=90.00 beta=90.00 gamma=120.00
Space group P-6m2 (No. 187)
Asymmetric unit:
Na (0.0000, 0.0000, 0.0000) (multiplicity 1)
Na (0.0000, 0.0000, 0.5000) (multiplicity 1)
Sr (0.6667, 0.3333, 0.2357) (multiplicity 2)
Nb (0.3333, 0.6667, 0.1385) (multiplicity 2)

## C
Below is crystalline NaSrNb at its relaxed geometry, with properties calculated at the PBE level.

For the size of the total moment, the calculation gives 1.379 μB per atom. Its density of states at the Fermi level is 9.375 states/eV/cell.

Unit cell a=5.6074 b=5.6074 c=7.3550 alpha=90.00 beta=90.00 gamma=120.00
Space group P6_3/mmc (No. 194)
Asymmetric unit:
Na (0.3333, 0.6667, 0.2500) (multiplicity 2)
Sr (0.0000, 0.0000, 0.0000) (multiplicity 2)
Nb (0.3333, 0.6667, 0.7500) (multiplicity 2)

## D
Below is crystalline NaSrNb at its relaxed geometry, with properties calculated at the PBE level.

For the size of the total moment, the calculation gives 0.000 μB per atom. Its density of states at the Fermi level is 4.784 states/eV/cell.

Unit cell a=3.449 b=6.989 c=8.910 alpha=107.68 beta=93.01 gamma=101.56
Space group P1 (No. 1)
Asymmetric unit:
Na (0.000, 0.000, 0.000) (multiplicity 1)
Na (0.278, 0.615, 0.142) (multiplicity 1)
Sr (0.682, 0.283, 0.411) (multiplicity 1)
Sr (0.938, 0.869, 0.582) (multiplicity 1)
Nb (0.308, 0.556, 0.756) (multiplicity 1)
Nb (0.629, 0.310, 0.809) (multiplicity 1)

Which of them is the most stable, and which is the least stable? A and C, in that order.

## A
Below is crystalline NaSrNb at its relaxed geometry, with properties calculated at the PBE level.

For the size of the total moment, the calculation gives 0.000 μB per atom. Its density of states at the Fermi level is 5.582 states/eV/cell.

Unit cell a=4.007 b=4.007 c=11.799 alpha=90.00 beta=90.00 gamma=90.00
Space group P4/nmm (No. 129, origin choice 2)
Asymmetric unit:
Na (0.250, 0.250, 0.225) (multiplicity 2)
Sr (0.250, 0.750, 0.500) (multiplicity 2)
Nb (0.250, 0.250, 0.962) (multiplicity 2)

## B
Below is crystalline NaSrNb at its relaxed geometry, with properties calculated at the PBE level.

For the size of the total moment, the calculation gives 0.000 μB per atom. Its density of states at the Fermi level is 5.195 states/eV/cell.

Unit cell a=3.500 b=6.380 c=9.808 alpha=71.09 beta=79.88 gamma=74.19
Space group P1 (No. 1)
Asymmetric unit:
Na (0.000, 0.000, 0.000) (multiplicity 1)
Na (0.345, 0.876, 0.425) (multiplicity 1)
Sr (0.029, 0.313, 0.620) (multiplicity 1)
Sr (0.681, 0.449, 0.188) (multiplicity 1)
Nb (0.305, 0.506, 0.877) (multiplicity 1)
Nb (0.717, 0.800, 0.757) (multiplicity 1)

## C
Below is crystalline NaSrNb at its relaxed geometry, with properties calculated at the PBE level.

For the size of the total moment, the calculation gives 0.000 μB per atom. Its density of states at the Fermi level is 7.561 states/eV/cell.

Unit cell a=4.849 b=6.816 c=6.819 alpha=79.84 beta=69.95 gamma=69.92
Space group P1 (No. 1)
Asymmetric unit:
Na (0.000, 0.000, 0.000) (multiplicity 1)
Na (0.283, 0.213, 0.215) (multiplicity 1)
Sr (0.582, 0.230, 0.599) (multiplicity 1)
Sr (0.701, 0.615, 0.985) (multiplicity 1)
Nb (0.312, 0.781, 0.520) (multiplicity 1)
Nb (0.971, 0.695, 0.433) (multiplicity 1)

## D
Below is crystalline NaSrNb at its relaxed geometry, with properties calculated at the PBE level.

For the size of the total moment, the calculation gives 0.000 μB per atom. Its density of states at the Fermi level is 4.218 states/eV/cell.

Unit cell a=3.468 b=6.102 c=9.715 alpha=71.77 beta=89.87 gamma=89.99
Space group P1 (No. 1)
Asymmetric unit:
Na (0.000, 0.000, 0.000) (multiplicity 1)
Na (0.002, 0.391, 0.218) (multiplicity 1)
Sr (0.500, 0.585, 0.829) (multiplicity 1)
Sr (0.501, 0.216, 0.566) (multiplicity 1)
Nb (0.001, 0.742, 0.513) (multiplicity 1)
Nb (0.500, 0.842, 0.314) (multiplicity 1)

Which of them is the most stable, and which is the least stable? D and A, in that order.

## A
Below is crystalline NaSrNb at its relaxed geometry, with properties calculated at the PBE level.

For the size of the total moment, the calculation gives 1.648 μB per atom. Its density of states at the Fermi level is 15.398 states/eV/cell.

Unit cell a=7.988 b=7.988 c=7.988 alpha=90.00 beta=90.00 gamma=90.00
Space group F-43m (No. 216)
Asymmetric unit:
Na (0.000, 0.000, 0.000) (multiplicity 4)
Sr (0.250, 0.250, 0.250) (multiplicity 4)
Nb (0.000, 0.000, 0.500) (multiplicity 4)

## B
Below is crystalline NaSrNb at its relaxed geometry, with properties calculated at the PBE level.

For the size of the total moment, the calculation gives 0.000 μB per atom. Its density of states at the Fermi level is 6.351 states/eV/cell.

Unit cell a=3.643 b=3.643 c=14.992 alpha=90.00 beta=90.00 gamma=90.00
Space group P4/nmm (No. 129, origin choice 2)
Asymmetric unit:
Na (0.250, 0.250, 0.094) (multiplicity 2)
Sr (0.250, 0.250, 0.694) (multiplicity 2)
Nb (0.250, 0.250, 0.466) (multiplicity 2)

## C
Below is crystalline NaSrNb at its relaxed geometry, with properties calculated at the PBE level.

For the size of the total moment, the calculation gives 0.000 μB per atom. Its density of states at the Fermi level is 9.654 states/eV/cell.

Unit cell a=8.702 b=3.510 c=12.116 alpha=90.00 beta=90.00 gamma=90.00
Space group Pnma (No. 62)
Asymmetric unit:
Na (0.138, 0.250, 0.054) (multiplicity 4)
Sr (0.157, 0.250, 0.758) (multiplicity 4)
Nb (0.077, 0.250, 0.447) (multiplicity 4)

## D
Below is crystalline NaSrNb at its relaxed geometry, with properties calculated at the PBE level.

For the size of the total moment, the calculation gives 0.000 μB per atom. Its density of states at the Fermi level is 12.500 states/eV/cell.

Unit cell a=7.729 b=4.559 c=13.329 alpha=90.00 beta=90.32 gamma=90.00
Space group C2/m (No. 12)
Asymmetric unit:
Na (0.168, 0.000, 0.407) (multiplicity 4)
Sr (0.002, 0.500, 0.168) (multiplicity 4)
Nb (0.162, 0.000, 0.000) (multiplicity 4)

Which of them is the most stable, and which is the least stable? B and A, in that order.

## A
Below is crystalline NaSrNb2 at its relaxed geometry, with properties calculated at the PBE level.

For the size of the total moment, the calculation gives 0.000 μB per atom. Its density of states at the Fermi level is 16.708 states/eV/cell.

Unit cell a=8.840 b=8.840 c=5.305 alpha=90.00 beta=90.00 gamma=90.00
Space group I-42d (No. 122)
Asymmetric unit:
Na (0.000, 0.000, 0.000) (multiplicity 4)
Sr (0.000, 0.000, 0.500) (multiplicity 4)
Nb (0.231, 0.250, 0.125) (multiplicity 8)

## B
Below is crystalline NaSrNb2 at its relaxed geometry, with properties calculated at the PBE level.

For the size of the total moment, the calculation gives 0.000 μB per atom. Its density of states at the Fermi level is 28.845 states/eV/cell.

Unit cell a=7.301 b=7.301 c=7.301 alpha=90.00 beta=90.00 gamma=90.00
Space group Fm-3m (No. 225)
Asymmetric unit:
Na (0.000, 0.000, 0.000) (multiplicity 4)
Sr (0.000, 0.000, 0.500) (multiplicity 4)
Nb (0.250, 0.250, 0.250) (multiplicity 8)

Which of them is the most stable, and which is the least stable? A and B, in that order.